{"formula": "GdErGaOs", "functional": "PBE", "state": "optimized geometry", "ef_ev_per_atom": -0.350, "vol_a3_per_cell": 85, "crystal_system": "cubic", "magnetic_moment_mub_per_cell": 7.0, "total_energy_ev_per_cell": -34.3, "cell": [[-0.810, -4.605, 1.550], [0.415, -3.767, -3.146], [3.759, -3.155, 0.418]], "species": ["Gd", "Os", "Er", "Ga"], "fractional_positions": [[0.500, 0.500, 0.500], [0.750, 0.750, 0.750], [0.000, 0.000, 0.000], [0.250, 0.250, 0.250]]}

---

{"formula": "ScIn2Cu", "functional": "PBE", "state": "optimized geometry", "ef_ev_per_atom": -0.086, "vol_a3_per_cell": 82, "crystal_system": "cubic", "magnetic_moment_mub_per_cell": 0.0, "total_energy_ev_per_cell": -16.2, "cell": [[-1.276, -2.313, 4.094], [-2.532, -4.156, -0.238], [2.130, -4.221, 1.179]], "species": ["Sc", "Cu", "In", "In"], "fractional_positions": [[0.750, 0.750, 0.750], [0.500, 0.500, 0.500], [0.250, 0.250, 0.250], [0.000, 0.000, 0.000]]}

---

{"formula": "PuTlIn", "functional": "PBE", "state": "optimized geometry", "ef_ev_per_atom": 0.031, "vol_a3_per_cell": 330, "crystal_system": "orthorhombic", "magnetic_moment_mub_per_cell": 23.1, "polymorph_energy_ev_per_fu": 0.29, "total_energy_ev_per_cell": -77.4, "cell": [[5.377, 0.000, 0.000], [0.000, 6.605, 0.000], [0.000, 0.000, 9.283]], "species": ["In", "In", "In", "In", "Tl", "Tl", "Tl", "Tl", "Pu", "Pu", "Pu", "Pu"], "fractional_positions": [[0.500, 0.500, 0.417], [0.000, 0.500, 0.917], [0.000, 0.000, 0.583], [0.500, 0.000, 0.083], [0.000, 0.250, 0.250], [0.500, 0.250, 0.750], [0.000, 0.750, 0.250], [0.500, 0.750, 0.750], [0.500, 0.000, 0.416], [0.000, 0.500, 0.584], [0.000, 0.000, 0.916], [0.500, 0.500, 0.084]]}

---

{"formula": "RbReCS2", "functional": "PBE", "state": "optimized geometry", "raw_formation_energy_ev_per_fu": 6.52, "vol_a3_per_cell": 152, "crystal_system": "tetragonal", "magnetic_moment_mub_per_cell": 2.6, "total_energy_ev_per_cell": -24.4, "cell": [[4.501, 0.000, 0.000], [0.000, 7.485, 0.000], [0.000, 0.000, 4.501]], "species": ["S", "S", "Rb", "C", "Re"], "fractional_positions": [[0.000, 0.000, 0.500], [0.500, 0.000, 0.000], [0.000, 0.500, 0.000], [0.500, 0.500, 0.500], [0.000, 0.000, 0.000]]}